Record 1
TlHgCl2F | the Alexandria database | PBE-GGA | optimized geometry; energy above the lowest structure with this stoichiometry = 0.00 eV per formula unit; DFT total energy = -26.98 eV for the cell shown; crystal system = monoclinic; formation energy without anion corrections = -1051.7 meV/atom
1.0
-1.9229 -1.4211 -3.4813
3.0136 -6.8810 1.1443
-7.9870 0.0387 4.3958
Cl Tl Hg F
4 2 2 2
Cartesian
-7.4608 -1.5433 3.4701
-3.8721 -6.6868 1.0257
-3.0241 -1.5767 1.0331
0.5645 -6.7201 -1.4112
-0.9170 -4.8884 1.2211
-5.9793 -3.3750 0.8377
-2.5148 -2.0972 -1.5975
-4.3814 -6.1662 3.6563
-1.9420 -4.1433 -1.0787
-4.9543 -4.1201 3.1375

---

Record 2
RbLiZnS2 | the Alexandria database | PBE-GGA | optimized geometry; DFT total energy = -34.91 eV for the cell shown; crystal system = orthorhombic; formation energy without anion corrections = -1009.4 meV/atom
1.0
5.8980 0.0000 0.0000
0.0000 5.9683 0.0000
0.0000 -2.9841 7.0173
S Li Rb Zn
4 2 2 2
Cartesian
1.5739 0.0000 1.4703
4.3241 2.9841 1.4703
4.3241 2.9841 5.5471
1.5739 0.0000 5.5471
2.9490 4.4762 0.0000
2.9490 1.4921 0.0000
1.4218 2.9841 3.5087
4.4762 0.0000 3.5087
0.0000 0.0000 0.0000
0.0000 2.9841 0.0000